1.
Entry from the Alexandria database: a relaxed structure of B5C7 (PBE).

Summary:
Its crystal system is monoclinic. Its symmetry is No. 6.

Cell: 2.6296 3.8900 8.0873 Å, 89.27 90.00 90.00°
Closest atoms and distances in Å follow each position.
Fractional coordinates of all 12 atoms:
B 0.0000 0.3274 0.1257  3 C 1.56-1.62
B 0.5000 0.8278 0.0343  3 C 1.57-1.62
B 0.5000 0.4898 0.5064  4 C 1.70-1.73
B 0.0000 0.9335 0.3738  3 C 1.55-1.57
B 0.5000 0.4512 0.7924  3 C 1.52-1.59
C 0.5000 0.5191 0.1715  1 C 1.53, 3 B 1.56-1.62
C 0.0000 0.0264 0.9895  1 C 1.53, 3 B 1.57-1.62
C 0.0000 0.2124 0.5093  3 B 1.55-1.70, 1 C 1.55
C 0.5000 0.7382 0.3278  1 C 1.53, 2 B 1.57
C 0.0000 0.2324 0.8275  2 C 1.53-1.62, 2 B 1.59
C 0.0000 0.9841 0.6682  4 C 1.55-1.62
C 0.5000 0.7578 0.6735  1 B 1.52, 2 C 1.58


2.
Entry from the Alexandria database: a relaxed structure of B5C7 (PBE).

Summary:
Its crystal system is monoclinic. Its symmetry is No. 8.

Cell: 4.7272 4.7272 7.5528 Å, 114.70 114.70 31.95°
Closest atoms and distances in Å follow each position.
Fractional coordinates of all 12 atoms:
B 0.6927 0.6927 0.3337  3 C 1.54-1.67
B 0.4752 0.4752 0.3743  3 C 1.60-1.61
B 0.9898 0.9898 0.0170  2 C 1.61-1.63, 2 B 1.77
B 0.5267 0.5267 0.8815  1 C 1.54
B 0.3094 0.3094 0.6337  3 C 1.57-1.59
C 0.3250 0.3250 0.1593  3 C 1.57-1.72, 1 B 1.60
C 0.1594 0.1594 0.2129  3 B 1.54-1.61, 1 C 1.72
C 0.8207 0.8207 0.0413  3 C 1.57-1.60, 1 B 1.63
C 0.6712 0.6712 0.8257  1 B 1.54, 3 C 1.58-1.60
C 0.1692 0.1692 0.7066  3 C 1.57-1.58, 1 B 1.59
C 0.0065 0.0065 0.5115  2 C 1.54-1.57, 2 B 1.61
C 0.8542 0.8542 0.5524  1 C 1.54, 3 B 1.57-1.67


Last place for stability: 2